Entry 1:
Here is crystalline YThTe at its relaxed geometry from the Alexandria database. Energies are from GGA-PBE.

* uncorrected formation energy: -0.1943 eV per atom
* V: 220.7 Å³/cell
* VASP energy: -5.869 eV/atom
* total moment: 0.27 μB per formula unit
* Fermi-level density of states: 1.1863 states/eV per atom

Geometry as extended XYZ:
```
6
Lattice="-0.5574 -3.7943 -0.8453 0.8624 1.0871 3.6738 -16.1100 1.6316 3.2990" Properties=species:S:1:pos:R:3 pbc="T T T"
Y -6.4196 0.6502 1.3146
Th -12.0112 0.7159 4.7068
Te -1.2579 -0.3732 2.5047
Y -9.6904 0.9815 1.9844
Th -3.7937 -1.7915 1.4207
Te -14.5471 -0.7024 3.6228
```

---

Entry 2:
Here is crystalline YRe2Pt at its relaxed geometry from the Alexandria database. Energies are from GGA-PBE.

* energy of formation: 0.10 eV/atom
* V: 75.0 Å³/cell
* VASP energy: -9.246 eV/atom
* total moment: 0.00 μB per formula unit
* Fermi-level density of states: 0.9360 states/eV per atom

Geometry as extended XYZ:
```
4
Lattice="4.8470 -0.0552 0.0750 3.8178 2.9867 0.0750 1.0647 0.3602 5.1231" Properties=species:S:1:pos:R:3 pbc="T T T"
Re 7.1729 2.4268 4.3882
Re 1.1094 0.3753 4.9142
Pt 2.5212 0.8530 1.2184
Y 4.8554 1.6427 2.5121
```

---

Entry 3:
Here is crystalline CaPAu at its relaxed geometry from the Alexandria database. Energies are from GGA-PBE.

* energy of formation: -0.63 eV/atom
* V: 156.3 Å³/cell
* VASP energy: -4.193 eV/atom
* total moment: 0.00 μB per formula unit
* Fermi-level density of states: 0.2399 states/eV per atom

Geometry as extended XYZ:
```
6
Lattice="5.7706 0.0000 0.0000 0.0000 5.7706 0.0000 0.0000 0.0000 4.6936" Properties=species:S:1:pos:R:3 pbc="T T T"
Au 2.8853 0.0000 0.0158
P 2.8853 0.0000 2.3633
Ca 2.8853 2.8853 2.3468
Au 0.0000 2.8853 4.6778
P 0.0000 2.8853 2.3302
Ca 0.0000 0.0000 2.3468
```

---

Entry 4:
Here is crystalline CaCdRu3 at its relaxed geometry from the Alexandria database. Energies are from GGA-PBE.

* energy of formation: 2.02 eV/atom
* V: 107.7 Å³/cell
* VASP energy: -4.125 eV/atom
* total moment: 4.90 μB per formula unit
* Fermi-level density of states: 1.0363 states/eV per atom

Geometry as extended XYZ:
```
5
Lattice="4.7582 0.0000 0.0000 0.0000 4.7582 0.0000 0.0000 0.0000 4.7582" Properties=species:S:1:pos:R:3 pbc="T T T"
Ca 0.0000 0.0000 0.0000
Ru 2.3791 0.0000 0.0000
Ru 0.0000 0.0000 2.3791
Cd 2.3791 2.3791 2.3791
Ru 0.0000 2.3791 0.0000
```

---

Entry 5:
Here is crystalline CdAg2P at its relaxed geometry from the Alexandria database. Energies are from GGA-PBE.

* energy of formation: 0.19 eV/atom
* V: 72.7 Å³/cell
* VASP energy: -2.820 eV/atom
* total moment: 0.00 μB per formula unit
* Fermi-level density of states: 0.3783 states/eV per atom

Geometry as extended XYZ:
```
4
Lattice="5.2081 0.0202 -0.0508 1.9651 4.8232 0.0508 -3.5557 -2.4675 2.8976" Properties=species:S:1:pos:R:3 pbc="T T T"
P 0.9958 2.3872 1.4742
Ag 0.0030 0.0021 0.0000
Ag 2.6203 -0.0123 1.4234
Cd 3.5850 2.4206 0.0000
```

---

Entry 6:
Here is crystalline ZrTiMo at its relaxed geometry from the Alexandria database. Energies are from GGA-PBE.

* energy of formation: 0.00 eV/atom
* V: 54.6 Å³/cell
* VASP energy: -9.094 eV/atom
* total moment: 0.00 μB per formula unit
* Fermi-level density of states: 1.0578 states/eV per atom

Geometry as extended XYZ:
```
3
Lattice="3.0040 0.0000 0.0000 0.0000 4.5799 0.0000 0.0000 -2.2899 3.9663" Properties=species:S:1:pos:R:3 pbc="T T T"
Mo 2.9513 0.0000 0.0000
Ti 2.1763 0.0000 2.6442
Zr 0.8804 2.2899 1.3221
```

---

Entry 7:
Here is crystalline RbNa2IO at its relaxed geometry from the Alexandria database. Energies are from GGA-PBE.

* uncorrected formation energy: -1.0886 eV per atom
* V: 297.4 Å³/cell
* VASP energy: -3.111 eV/atom
* total moment: 0.00 μB per formula unit

Geometry as extended XYZ:
```
10
Lattice="-0.3013 -3.7759 -2.1898 7.3639 3.1733 -2.1139 3.6257 -4.0705 6.5199" Properties=species:S:1:pos:R:3 pbc="T T T"
Na 5.4168 -3.6048 5.4704
I 4.7798 -0.3274 -0.0931
Rb 0.9935 -2.8632 0.4293
O 0.0000 0.0000 0.0000
O 1.8128 -2.0352 3.2599
Na 6.8591 -2.8506 -0.3994
I 5.9085 -4.3456 2.3093
Rb 9.6948 -1.8098 1.7869
Na 5.2715 -1.0683 -3.2542
Na 3.8292 -1.8225 2.6156
```

---

Entry 8:
Here is crystalline SmHo3Tm3 at its relaxed geometry from the Alexandria database. Energies are from GGA-PBE.

* energy of formation: 0.17 eV/atom
* V: 905.5 Å³/cell
* VASP energy: -4.383 eV/atom
* total moment: 0.00 μB per formula unit
* Fermi-level density of states: 1.4426 states/eV per atom

Geometry as extended XYZ:
```
28
Lattice="-1.2420 -3.4034 -10.3384 9.0947 -6.8899 12.6582 -7.9477 0.2606 0.4409" Properties=species:S:1:pos:R:3 pbc="T T T"
Ho -1.6509 -3.1756 6.3412
Tm 4.0156 -8.2363 1.9518
Ho 4.1109 -6.7507 -1.1897
Tm -4.2267 -3.2451 3.9441
Tm 1.7360 -3.9793 -1.9903
Ho 4.8731 -6.2846 7.4151
Ho 4.2953 -9.2045 5.3540
Ho 2.8173 -5.2137 9.8645
Sm 0.1735 -1.6985 0.0827
Tm 2.9095 -3.6801 6.7682
Tm -4.5001 -1.0607 -2.3056
Ho -2.0648 -6.1488 4.6328
Tm -2.3277 -2.0525 -4.9020
Tm 0.3124 -5.7964 6.9910
Ho 2.1617 -8.1818 8.2964
Tm -0.5817 -6.3538 -1.1244
Ho -3.9536 -1.7936 0.8164
Ho -0.2303 -4.6842 -4.7695
Tm -4.8493 -3.9672 -4.4568
Sm -8.4930 -2.2588 -7.1782
Tm 2.5907 -6.4888 4.5674
Sm 7.5058 -6.4706 9.9606
Tm -2.0818 -4.6609 1.5130
Sm -0.0238 -7.6594 2.3941
Tm -1.5433 -1.5760 3.2846
Ho 0.4232 -4.1493 3.8340
Ho 2.0835 -5.2595 1.0803
Ho -2.3278 -3.6208 -1.8487
```

---

Entry 9:
Here is crystalline MgTaTlCd2 at its relaxed geometry from the Alexandria database. Energies are from GGA-PBE.

* energy of formation: 1.00 eV/atom
* V: 168.3 Å³/cell
* VASP energy: -2.524 eV/atom
* total moment: 2.84 μB per formula unit
* Fermi-level density of states: 1.1513 states/eV per atom

Geometry as extended XYZ:
```
5
Lattice="-4.0211 3.0799 -2.1709 -3.3089 -4.4418 -0.1728 -1.8362 1.1709 5.0622" Properties=species:S:1:pos:R:3 pbc="T T T"
Tl -4.5831 -0.0955 1.3592
Ta 0.0000 0.0000 0.0000
Mg -1.6544 -2.2209 -0.0864
Cd -2.0105 1.5400 -1.0855
Cd -0.9181 0.5854 2.5311
```

---

Entry 10:
Here is crystalline Zn5Ag6Au at its relaxed geometry from the Alexandria database. Energies are from GGA-PBE.

* energy of formation: -0.05 eV/atom
* V: 198.5 Å³/cell
* VASP energy: -2.277 eV/atom
* total moment: 0.00 μB per formula unit
* Fermi-level density of states: 0.2342 states/eV per atom

Geometry as extended XYZ:
```
12
Lattice="8.8028 -0.8093 0.0000 2.3203 3.4194 0.0000 1.1601 1.7097 6.2058" Properties=species:S:1:pos:R:3 pbc="T T T"
Au 0.0000 0.0000 0.0000
Zn 2.3203 3.4194 4.2291
Zn 5.5616 1.3051 4.0646
Ag 5.1046 4.0789 4.1106
Zn 6.7217 3.0148 2.1412
Ag 8.3388 1.9506 4.1106
Ag 8.2010 2.0461 0.0000
Ag 2.9221 0.5640 0.0000
Ag 3.9444 2.3692 2.0952
Zn 5.5616 1.3051 0.0000
Ag 7.1787 0.2409 2.0952
Zn 1.1601 1.7097 1.9767
```

---

Entry 11:
Here is crystalline BaIr2 at its relaxed geometry from the Alexandria database. Energies are from GGA-PBE.

* energy of formation: 0.23 eV/atom
* V: 72.0 Å³/cell
* VASP energy: -6.321 eV/atom
* total moment: 0.00 μB per formula unit
* Fermi-level density of states: 0.7496 states/eV per atom

Geometry as extended XYZ:
```
3
Lattice="6.1811 -0.0153 0.0000 4.1276 4.6010 0.0000 -5.1544 -2.2928 2.5262" Properties=species:S:1:pos:R:3 pbc="T T T"
Ir 7.4735 3.3244 0.0000
Ba 0.0000 0.0000 0.0000
Ir 2.8353 1.2612 0.0000
```

---

Entry 12:
Here is crystalline Na8Sn2Pb at its relaxed geometry from the Alexandria database. Energies are from GGA-PBE.

* energy of formation: -0.12 eV/atom
* V: 343.6 Å³/cell
* VASP energy: -2.147 eV/atom
* total moment: 0.00 μB per formula unit
* Fermi-level density of states: 0.5791 states/eV per atom

Geometry as extended XYZ:
```
11
Lattice="-1.6968 2.2987 -4.4990 2.4201 -7.7847 -4.8924 -6.5639 0.2100 5.7458" Properties=species:S:1:pos:R:3 pbc="T T T"
Na -2.3955 -3.7715 -2.1730
Na -4.9291 1.1550 -1.8552
Sn -1.7868 -3.4505 -5.3955
Na -1.4950 -6.3360 -3.8244
Sn -4.3959 -1.6478 -0.3300
Pb -2.8450 -6.9189 -0.4560
Na 0.9863 -3.7888 -3.4542
Na -5.6331 -4.5032 -1.3202
Na -1.5434 -0.5346 -0.8259
Na -6.8844 -0.2866 1.3127
Na -4.1217 -1.5734 -3.5522
```

---

Question: Which value of V does entry 2 give?
Answer: 75.0 Å³/cell